P.
MgGaOsPd2: relaxed, GGA-PBE.

Properties
SG: P4/mmm (123)

Structure (POSCAR):
```
MgGaOsPd2
1.0
4.5820 0.0000 0.0000
0.0000 4.5820 0.0000
0.0000 0.0000 4.6374
Mg Ga Os Pd
1 1 1 2
Direct
0.0000 0.0000 0.0000 Mg
0.5000 0.5000 0.5000 Ga
0.5000 0.5000 0.0000 Os
0.0000 0.5000 0.5000 Pd
0.5000 0.0000 0.5000 Pd
```


Q.
MgGaOsPd2: relaxed, GGA-PBE.

Properties
SG: P4/mmm (123)

Structure (POSCAR):
```
MgGaOsPd2
1.0
4.5241 0.0000 0.0000
0.0000 4.5241 0.0000
0.0000 0.0000 4.7142
Mg Ga Os Pd
1 1 1 2
Direct
0.0000 0.0000 0.0000 Mg
0.0000 0.0000 0.5000 Ga
0.5000 0.5000 0.0000 Os
0.0000 0.5000 0.5000 Pd
0.5000 0.0000 0.5000 Pd
```


Top of the stability list: P, leading by 470 meV per atom.